NbPd4Pt | PBE | optimized geometry

magnetization	0.0	μB per formula unit
theoretical density	12.11	Mg/m³
E_form	-274.3	meV per atom
relative energy among the computed polymorphs	0	kJ/mol of formula units
V	391.4	Å³ per cell
raw total energy	-6.42	eV per atom

Structure (CIF):
```
data_NbPd4Pt
_space_group_name_H-M_alt 'C 1 2/c 1'
_space_group_IT_number 15
_space_group_name_Hall '-C 2yc'
_cell_length_a 5.5554
_cell_length_b 15.2376
_cell_length_c 4.6237
_cell_angle_alpha 90.00
_cell_angle_beta 90.08
_cell_angle_gamma 90.00
loop_
_atom_site_label
_atom_site_fract_x
_atom_site_fract_y
_atom_site_fract_z
Nb1 0.0000 0.1984 0.2500
Pd1 0.2491 0.0440 0.2496
Pd2 0.2491 0.3585 0.2503
Pt1 0.0000 0.3002 0.7500
```